Record 1
# Y2Ge4Pt3Au PBE-GGA optimized geometry
# density of states at the Fermi level: 4.66 states/eV/f.u.
# SG: P-4m2
data_Y2Ge4Pt3Au
_chemical_formula_sum 'Y2 Ge4 Pt3 Au1'
_space_group_name_H-M_alt 'P 1'
_space_group_IT_number 1
_cell_length_a 4.3290
_cell_length_b 4.3290
_cell_length_c 10.2528
_cell_angle_alpha 90.00
_cell_angle_beta 90.00
_cell_angle_gamma 90.00
loop_
_space_group_symop_operation_xyz
'x,y,z'
loop_
_atom_site_label
_atom_site_type_symbol
_atom_site_fract_x
_atom_site_fract_y
_atom_site_fract_z
Ge1 Ge 0.5000 0.0000 0.6387
Ge2 Ge 0.5000 0.5000 0.0000
Ge3 Ge 0.0000 0.5000 0.3613
Ge4 Ge 0.0000 0.0000 0.0000
Y1 Y 0.5000 0.0000 0.2531
Y2 Y 0.0000 0.5000 0.7469
Pt1 Pt 0.0000 0.0000 0.5000
Pt2 Pt 0.5000 0.0000 0.8751
Pt3 Pt 0.0000 0.5000 0.1249
Au1 Au 0.5000 0.5000 0.5000

Record 2
# ZnGePtAu PBE-GGA optimized geometry
# density of states at the Fermi level: 1.14 states/eV/f.u.
# SG: F-43m
data_ZnGePtAu
_chemical_formula_sum 'Zn1 Ge1 Pt1 Au1'
_space_group_name_H-M_alt 'P 1'
_space_group_IT_number 1
_cell_length_a 4.5246
_cell_length_b 4.5246
_cell_length_c 4.5246
_cell_angle_alpha 60.00
_cell_angle_beta 60.00
_cell_angle_gamma 60.00
loop_
_space_group_symop_operation_xyz
'x,y,z'
loop_
_atom_site_label
_atom_site_type_symbol
_atom_site_fract_x
_atom_site_fract_y
_atom_site_fract_z
Zn1 Zn 0.5000 0.5000 0.5000
Ge1 Ge 0.0000 0.0000 0.0000
Au1 Au 0.2500 0.2500 0.2500
Pt1 Pt 0.7500 0.7500 0.7500

Record 3
# Pu6GeAu PBE-GGA optimized geometry
# density of states at the Fermi level: 32.74 states/eV/f.u.
# SG: P4/mmm
data_Pu6GeAu
_chemical_formula_sum 'Pu6 Ge1 Au1'
_space_group_name_H-M_alt 'P 1'
_space_group_IT_number 1
_cell_length_a 4.4583
_cell_length_b 4.4583
_cell_length_c 9.4343
_cell_angle_alpha 90.00
_cell_angle_beta 90.00
_cell_angle_gamma 90.00
loop_
_space_group_symop_operation_xyz
'x,y,z'
loop_
_atom_site_label
_atom_site_type_symbol
_atom_site_fract_x
_atom_site_fract_y
_atom_site_fract_z
Pu1 Pu 0.5000 0.0000 0.7342
Pu2 Pu 0.0000 0.5000 0.2658
Pu3 Pu 0.5000 0.0000 0.2658
Pu4 Pu 0.5000 0.5000 0.5000
Pu5 Pu 0.5000 0.5000 0.0000
Pu6 Pu 0.0000 0.5000 0.7342
Au1 Au 0.0000 0.0000 0.0000
Ge1 Ge 0.0000 0.0000 0.5000

Record 4
# Pu5Ge2Au PBE-GGA optimized geometry
# density of states at the Fermi level: 24.98 states/eV/f.u.
# SG: R-3m
data_Pu5Ge2Au
_chemical_formula_sum 'Pu5 Ge2 Au1'
_space_group_name_H-M_alt 'P 1'
_space_group_IT_number 1
_cell_length_a 4.9109
_cell_length_b 4.9109
_cell_length_c 8.3748
_cell_angle_alpha 72.95
_cell_angle_beta 72.95
_cell_angle_gamma 60.00
loop_
_space_group_symop_operation_xyz
'x,y,z'
loop_
_atom_site_label
_atom_site_type_symbol
_atom_site_fract_x
_atom_site_fract_y
_atom_site_fract_z
Pu1 Pu 0.5000 0.5000 0.5000
Pu2 Pu 0.3934 0.3934 0.8197
Pu3 Pu 0.2518 0.2518 0.2445
Pu4 Pu 0.6066 0.6066 0.1803
Pu5 Pu 0.7482 0.7482 0.7555
Au1 Au 0.0000 0.0000 0.0000
Ge1 Ge 0.8834 0.8834 0.3497
Ge2 Ge 0.1166 0.1166 0.6503

Record 5
# PuGe2Au PBE-GGA optimized geometry
# density of states at the Fermi level: 11.72 states/eV/f.u.
# SG: Pnma
data_PuGe2Au
_chemical_formula_sum 'Pu4 Ge8 Au4'
_space_group_name_H-M_alt 'P 1'
_space_group_IT_number 1
_cell_length_a 4.3856
_cell_length_b 7.1028
_cell_length_c 10.8780
_cell_angle_alpha 90.00
_cell_angle_beta 90.00
_cell_angle_gamma 90.00
loop_
_space_group_symop_operation_xyz
'x,y,z'
loop_
_atom_site_label
_atom_site_type_symbol
_atom_site_fract_x
_atom_site_fract_y
_atom_site_fract_z
Ge1 Ge 0.2500 0.3193 0.0698
Ge2 Ge 0.2500 0.8691 0.8695
Ge3 Ge 0.2500 0.3691 0.6305
Ge4 Ge 0.7500 0.6807 0.9302
Ge5 Ge 0.2500 0.8193 0.4302
Ge6 Ge 0.7500 0.1309 0.1305
Ge7 Ge 0.7500 0.1807 0.5698
Ge8 Ge 0.7500 0.6309 0.3695
Au1 Au 0.7500 0.5246 0.1473
Au2 Au 0.2500 0.9754 0.6473
Au3 Au 0.2500 0.4754 0.8527
Au4 Au 0.7500 0.0246 0.3527
Pu1 Pu 0.7500 0.6630 0.6429
Pu2 Pu 0.2500 0.3370 0.3571
Pu3 Pu 0.7500 0.1630 0.8571
Pu4 Pu 0.2500 0.8370 0.1429

Record 6
# Pu2Ge3Au2 PBE-GGA optimized geometry
# distance to the lowest polymorph of the same formula: 31.3 kJ per mole of atoms
# density of states at the Fermi level: 6.96 states/eV/f.u.
# SG: C2/m
data_Pu2Ge3Au2
_chemical_formula_sum 'Pu2 Ge3 Au2'
_space_group_name_H-M_alt 'P 1'
_space_group_IT_number 1
_cell_length_a 3.5045
_cell_length_b 5.8973
_cell_length_c 8.3372
_cell_angle_alpha 122.95
_cell_angle_beta 90.00
_cell_angle_gamma 107.29
loop_
_space_group_symop_operation_xyz
'x,y,z'
loop_
_atom_site_label
_atom_site_type_symbol
_atom_site_fract_x
_atom_site_fract_y
_atom_site_fract_z
Ge1 Ge 0.5648 0.1296 0.4157
Ge2 Ge 0.5000 0.0000 0.0000
Ge3 Ge 0.4352 0.8704 0.5843
Pu1 Pu 0.8184 0.6368 0.1063
Pu2 Pu 0.1816 0.3632 0.8937
Au1 Au 0.1751 0.3503 0.2821
Au2 Au 0.8249 0.6497 0.7179

Record 7
# Pu2Ge5Au3 PBE-GGA optimized geometry
# density of states at the Fermi level: 28.38 states/eV/f.u.
# SG: Ibam
data_Pu2Ge5Au3
_chemical_formula_sum 'Pu4 Ge10 Au6'
_space_group_name_H-M_alt 'P 1'
_space_group_IT_number 1
_cell_length_a 6.4718
_cell_length_b 8.7228
_cell_length_c 8.7228
_cell_angle_alpha 73.77
_cell_angle_beta 68.22
_cell_angle_gamma 68.22
loop_
_space_group_symop_operation_xyz
'x,y,z'
loop_
_atom_site_label
_atom_site_type_symbol
_atom_site_fract_x
_atom_site_fract_y
_atom_site_fract_z
Pu1 Pu 0.6240 0.1466 0.6055
Pu2 Pu 0.1240 0.6055 0.1466
Pu3 Pu 0.3760 0.8534 0.3945
Pu4 Pu 0.8760 0.3945 0.8534
Ge1 Ge 0.1134 0.0348 0.7384
Ge2 Ge 0.5208 0.2292 0.2292
Ge3 Ge 0.4792 0.7708 0.7708
Ge4 Ge 0.3866 0.2616 0.9652
Ge5 Ge 0.7500 0.5000 0.5000
Ge6 Ge 0.8866 0.9652 0.2616
Ge7 Ge 0.0208 0.2292 0.2292
Ge8 Ge 0.9792 0.7708 0.7708
Ge9 Ge 0.6134 0.7384 0.0348
Ge10 Ge 0.2500 0.5000 0.5000
Au1 Au 0.3601 0.5231 0.7566
Au2 Au 0.7500 0.0000 0.0000
Au3 Au 0.8601 0.7566 0.5231
Au4 Au 0.1399 0.2434 0.4769
Au5 Au 0.2500 0.0000 0.0000
Au6 Au 0.6399 0.4769 0.2434

Record 8
# Pu4Ge8Au PBE-GGA optimized geometry
# density of states at the Fermi level: 40.06 states/eV/f.u.
# SG: Pmm2
data_Pu4Ge8Au
_chemical_formula_sum 'Pu4 Ge8 Au1'
_space_group_name_H-M_alt 'P 1'
_space_group_IT_number 1
_cell_length_a 4.0382
_cell_length_b 4.2281
_cell_length_c 15.8970
_cell_angle_alpha 90.00
_cell_angle_beta 90.00
_cell_angle_gamma 90.00
loop_
_space_group_symop_operation_xyz
'x,y,z'
loop_
_atom_site_label
_atom_site_type_symbol
_atom_site_fract_x
_atom_site_fract_y
_atom_site_fract_z
Pu1 Pu 0.0000 0.5000 0.6147
Pu2 Pu 0.5000 0.5000 0.4120
Pu3 Pu 0.0000 0.0000 0.0806
Pu4 Pu 0.5000 0.0000 0.8995
Ge1 Ge 0.0000 0.5000 0.2126
Ge2 Ge 0.0000 0.0000 0.4766
Ge3 Ge 0.5000 0.0000 0.2116
Ge4 Ge 0.0000 0.0000 0.7536
Ge5 Ge 0.5000 0.0000 0.5810
Ge6 Ge 0.5000 0.5000 0.0472
Ge7 Ge 0.0000 0.5000 0.9350
Ge8 Ge 0.5000 0.5000 0.7620
Au1 Au 0.0000 0.0000 0.3166

no.,spin magnetization (μB/f.u.),E_form (eV per atom),uncorrected energy (eV/atom)
1,0.000,-0.7915,-6.07
2,0.000,-0.1573,-3.96
3,23.147,-0.1433,-11.88
4,5.301,-0.2270,-10.75
5,5.464,-0.3226,-7.03
6,1.358,-0.0502,-7.06
7,11.231,-0.2445,-6.40
8,15.816,-0.1548,-7.66